1.
The following is a DFT calculation (PBE) of SnBI2N after structural relaxation.

```
data_SnBI2N
_symmetry_space_group_name_H-M 'P 4/m m m'
_symmetry_Int_Tables_number 123
_symmetry_space_group_name_Hall '-P 4 2'
_cell_length_a 6.733
_cell_length_b 6.733
_cell_length_c 2.852
_cell_angle_alpha 90.00
_cell_angle_beta 90.00
_cell_angle_gamma 90.00
loop_
_atom_site_label
_atom_site_type_symbol
_atom_site_fract_x
_atom_site_fract_y
_atom_site_fract_z
_atom_site_occupancy
Sn1 Sn 0.000 0.000 0.000 1
B1 B 0.500 0.500 0.500 1
I1 I 0.000 0.500 0.500 1
N1 N 0.500 0.500 0.000 1
```

Properties
- ΔE to the lowest computed polymorph: 0.000 kcal/mol of atoms
- Formation energy without anion corrections: 13 kJ per mole of atoms

2.
The following is a DFT calculation (PBE) of SrBIN2 after structural relaxation.

```
data_SrBIN2
_symmetry_space_group_name_H-M 'P 4/m m m'
_symmetry_Int_Tables_number 123
_symmetry_space_group_name_Hall '-P 4 2'
_cell_length_a 4.192
_cell_length_b 4.192
_cell_length_c 4.775
_cell_angle_alpha 90.00
_cell_angle_beta 90.00
_cell_angle_gamma 90.00
loop_
_atom_site_label
_atom_site_type_symbol
_atom_site_fract_x
_atom_site_fract_y
_atom_site_fract_z
_atom_site_occupancy
Sr1 Sr 0.000 0.000 0.000 1
B1 B 0.500 0.500 0.500 1
I1 I 0.500 0.500 0.000 1
N1 N 0.000 0.500 0.500 1
```

Properties
- ΔE to the lowest computed polymorph: 0.000 kcal/mol of atoms
- Formation energy without anion corrections: 124 kJ per mole of atoms

3.
The following is a DFT calculation (PBE) of Sr2BI2N2 after structural relaxation.

```
data_Sr2BI2N2
_symmetry_space_group_name_H-M 'C 1 2/m 1'
_symmetry_Int_Tables_number 12
_cell_length_a 9.765
_cell_length_b 4.340
_cell_length_c 10.269
_cell_angle_alpha 90.00
_cell_angle_beta 95.91
_cell_angle_gamma 90.00
loop_
_symmetry_equiv_pos_as_xyz
'x,y,z'
'-x,-y,-z'
'-x,y,-z'
'x,-y,z'
'x+1/2,y+1/2,z'
'-x+1/2,-y+1/2,-z'
'-x+1/2,y+1/2,-z'
'x+1/2,-y+1/2,z'
loop_
_atom_site_label
_atom_site_type_symbol
_atom_site_fract_x
_atom_site_fract_y
_atom_site_fract_z
_atom_site_occupancy
Sr1 Sr 0.192 0.000 0.339 1
B1 B 0.000 0.500 0.500 1
I1 I 0.126 0.000 0.825 1
N1 N 0.125 0.500 0.457 1
```

Properties
- Formation energy without anion corrections: -104 kJ per mole of atoms

4.
The following is a DFT calculation (PBE) of Sr2BIN2 after structural relaxation.

```
data_Sr2BIN2
_symmetry_space_group_name_H-M 'P 1 21/m 1'
_symmetry_Int_Tables_number 11
_cell_length_a 10.418
_cell_length_b 4.239
_cell_length_c 13.428
_cell_angle_alpha 90.00
_cell_angle_beta 91.56
_cell_angle_gamma 90.00
loop_
_symmetry_equiv_pos_as_xyz
'x,y,z'
'-x,-y,-z'
'-x,y+1/2,-z'
'x,-y+1/2,z'
loop_
_atom_site_label
_atom_site_type_symbol
_atom_site_fract_x
_atom_site_fract_y
_atom_site_fract_z
_atom_site_occupancy
Sr1 Sr 0.075 0.250 0.404 1
Sr2 Sr 0.196 0.250 0.884 1
Sr3 Sr 0.352 0.750 0.129 1
Sr4 Sr 0.395 0.750 0.675 1
B1 B 0.161 0.250 0.647 1
B2 B 0.417 0.750 0.896 1
I1 I 0.079 0.250 0.142 1
I2 I 0.348 0.750 0.403 1
N1 N 0.053 0.250 0.590 1
N2 N 0.269 0.250 0.706 1
N3 N 0.305 0.750 0.945 1
N4 N 0.478 0.250 0.160 1
```

Properties
- Formation energy without anion corrections: -126 kJ per mole of atoms